Entry 1:
Entry from Alexandria: LiMn2Ir after structural relaxation (GGA-PBE).

Structure (POSCAR):
```
LiMn2Ir
1.0
-0.378 8.692 2.427
-2.703 7.848 3.563
-0.353 7.574 4.909
Li Ir Mn
1 1 2
direct
0.750 0.750 0.750
0.250 0.250 0.250
0.997 0.997 0.997
0.503 0.503 0.503
```

Results
The total energy is -7.0409 eV/atom. The calculated formation energy is 0.238 eV per atom. The magnetization comes out at 5.89 μB/f.u. For the calculated volume, the calculation gives 14.27 Å³/atom.

***

Entry 2:
Entry from Alexandria: LiMn3Ir after structural relaxation (GGA-PBE).

Structure (POSCAR):
```
LiMn3Ir
1.0
4.896 0.000 0.000
0.000 4.896 0.000
0.000 0.000 4.896
Mn Li Ir
3 1 1
direct
0.000 0.000 0.500
0.500 0.000 0.000
0.000 0.500 0.000
0.500 0.500 0.500
0.000 0.000 0.000
```

Results
The total energy is -6.8905 eV/atom. The calculated formation energy is 0.766 eV per atom. The magnetization comes out at 13.45 μB/f.u. For the calculated volume, the calculation gives 23.47 Å³/atom.

***

Entry 3:
Entry from Alexandria: LiMnIr2 after structural relaxation (GGA-PBE).

Structure (POSCAR):
```
LiMnIr2
1.0
4.480 0.024 0.000
-1.161 4.327 0.000
0.000 0.000 2.739
Li Mn Ir
1 1 2
direct
0.500 0.000 0.500
0.000 0.500 0.500
0.000 0.000 0.000
0.500 0.500 0.000
```

Results
The total energy is -7.2737 eV/atom. The calculated formation energy is -0.072 eV per atom. The magnetization comes out at 3.03 μB/f.u. For the calculated volume, the calculation gives 13.29 Å³/atom.

***

Entry 4:
Entry from Alexandria: LiMn2Ir after structural relaxation (GGA-PBE).

Structure (POSCAR):
```
LiMn2Ir
1.0
2.706 0.027 0.000
-1.191 2.430 0.000
0.000 0.000 8.942
Ir Mn Li
1 2 1
direct
0.500 0.500 0.250
0.000 0.000 0.489
0.000 0.000 0.011
0.500 0.500 0.750
```

Results
The total energy is -7.0118 eV/atom. The calculated formation energy is 0.267 eV per atom. The magnetization comes out at 7.32 μB/f.u. For the calculated volume, the calculation gives 14.77 Å³/atom.

***

Entry 5:
Entry from Alexandria: LiMnIr2 after structural relaxation (GGA-PBE).

Structure (POSCAR):
```
LiMnIr2
1.0
-1.835 -2.288 0.390
0.809 -1.097 -2.627
4.499 -3.148 2.700
Ir Li Mn
2 1 1
direct
0.000 0.000 0.987
0.500 0.500 0.278
0.000 0.000 0.500
0.500 0.500 0.734
```

Results
The total energy is -7.0867 eV/atom. The calculated formation energy is 0.115 eV per atom. The magnetization comes out at 3.53 μB/f.u. For the calculated volume, the calculation gives 13.40 Å³/atom.

***

Entry 6:
Entry from Alexandria: LiMnIr2 after structural relaxation (GGA-PBE).

Structure (POSCAR):
```
LiMnIr2
1.0
2.982 0.000 0.000
0.000 2.982 0.000
0.000 0.000 5.772
Mn Li Ir
1 1 2
direct
0.500 0.500 0.750
0.500 0.500 0.250
0.000 0.000 0.497
0.000 0.000 0.003
```

Results
The total energy is -7.3468 eV/atom. The calculated formation energy is -0.145 eV per atom. The magnetization comes out at 2.53 μB/f.u. For the calculated volume, the calculation gives 12.83 Å³/atom.

***

Entry 7:
Entry from Alexandria: Li2MnIr after structural relaxation (GGA-PBE).

Structure (POSCAR):
```
Li2MnIr
1.0
-3.536 -2.297 0.840
0.685 -1.810 -2.067
2.316 -2.489 2.945
Ir Mn Li
1 1 2
direct
0.500 0.875 0.627
0.000 0.375 0.623
0.500 0.375 0.127
0.000 0.875 0.123
```

Results
The total energy is -5.5116 eV/atom. The calculated formation energy is -0.047 eV per atom. The magnetization comes out at 3.30 μB/f.u. For the calculated volume, the calculation gives 13.69 Å³/atom.

***

Entry 8:
Entry from Alexandria: Li2MnIr after structural relaxation (GGA-PBE).

Structure (POSCAR):
```
Li2MnIr
1.0
-0.354 -4.377 2.202
-0.259 -3.946 -2.914
2.867 3.970 0.387
Ir Mn Li
1 1 2
direct
0.750 0.250 0.500
0.250 0.750 0.500
0.000 0.000 0.000
0.500 0.500 0.000
```

Results
The total energy is -5.4636 eV/atom. The calculated formation energy is 0.001 eV per atom. The magnetization comes out at 3.87 μB/f.u. For the calculated volume, the calculation gives 13.80 Å³/atom.

***

Entry 9:
Entry from Alexandria: LiMnIr2 after structural relaxation (GGA-PBE).

Structure (POSCAR):
```
LiMnIr2
1.0
8.822 0.003 0.002
8.410 2.664 0.002
8.410 1.302 2.324
Ir Li Mn
2 1 1
direct
0.496 0.496 0.496
0.004 0.004 0.004
0.250 0.250 0.250
0.750 0.750 0.750
```

Results
The total energy is -7.2897 eV/atom. The calculated formation energy is -0.088 eV per atom. The magnetization comes out at 1.95 μB/f.u. For the calculated volume, the calculation gives 13.63 Å³/atom.

***

Entry 10:
Entry from Alexandria: Li2MnIr after structural relaxation (GGA-PBE).

Structure (POSCAR):
```
Li2MnIr
1.0
9.294 0.003 0.002
8.912 2.637 0.002
8.912 1.292 2.298
Ir Li Mn
1 2 1
direct
0.750 0.750 0.750
0.497 0.497 0.497
0.003 0.003 0.003
0.250 0.250 0.250
```

Results
The total energy is -5.3892 eV/atom. The calculated formation energy is 0.075 eV per atom. The magnetization comes out at 3.06 μB/f.u. For the calculated volume, the calculation gives 14.05 Å³/atom.

***

Entry 11:
Entry from Alexandria: LiMnMoIr after structural relaxation (GGA-PBE).

Structure (POSCAR):
```
LiMnMoIr
1.0
4.227 0.000 0.000
2.113 3.660 0.000
2.113 1.220 3.451
Ir Mo Mn Li
1 1 1 1
direct
0.250 0.250 0.250
0.000 0.000 0.000
0.750 0.750 0.750
0.500 0.500 0.500
```

Results
The total energy is -7.6832 eV/atom. The calculated formation energy is 0.011 eV per atom. The magnetization comes out at 0.94 μB/f.u. For the calculated volume, the calculation gives 13.35 Å³/atom.

***

Entry 12:
Entry from Alexandria: LiMn2IrN after structural relaxation (GGA-PBE).

Structure (POSCAR):
```
LiMn2IrN
1.0
-3.486 -1.408 0.721
1.567 -3.313 1.107
0.217 1.304 3.595
Li N Mn Ir
1 1 2 1
direct
0.000 0.000 0.500
0.000 0.000 0.000
0.500 0.000 0.000
0.000 0.500 0.000
0.500 0.500 0.500
```

Results
The total energy is -7.6455 eV/atom. The calculation puts the energy relative to the elements, uncorrected at -0.158 eV/atom. The magnetization comes out at 5.27 μB/f.u. For the calculated volume, the calculation gives 11.23 Å³/atom.